Below is crystalline NaMoP2S at its relaxed geometry, with properties calculated at the PBE level.

Output
The value obtained for the offset from the most stable computed form is 0 meV/atom. The magnetization is 0.0 Bohr magnetons per cell. The formation energy (no corrections) comes out at -1 kJ/mol of atoms.

CIF file:
```
data_NaMoP2S
_symmetry_space_group_name_H-M 'P 4/m m m'
_symmetry_Int_Tables_number 123
_symmetry_space_group_name_Hall '-P 4 2'
_cell_length_a 4.711
_cell_length_b 4.711
_cell_length_c 4.853
_cell_angle_alpha 90.00
_cell_angle_beta 90.00
_cell_angle_gamma 90.00
loop_
_atom_site_label
_atom_site_type_symbol
_atom_site_fract_x
_atom_site_fract_y
_atom_site_fract_z
Na1 Na 0.000 0.000 0.000
Mo1 Mo 0.500 0.500 0.500
P1 P 0.000 0.500 0.500
S1 S 0.500 0.500 0.000
```